# 1
Entry from OQMD: an optimized crystal structure of Ni3Sn (GGA-PBE).

The structure belongs to space group P6_3/mmc (No. 194); the cell edges are 5.2940, 5.2940 and 8.5509 Å and the angles 90.00°, 90.00° and 120.00°. The inequivalent atoms are Ni at (0.0000, 0.5000, 0.0000), Ni at (0.1770, 0.3539, 0.2500), Sn at (0.0000, 0.0000, 0.0000) and Sn at (0.3333, 0.6667, 0.7500).

The value obtained for the calculated density is 9.43 g/cm³. The volume is 12.97 Å³ per atom. As for the crystal system: hexagonal. The total energy is -5.37 eV/atom.

# 2
Entry from OQMD: an optimized crystal structure of AgH (GGA-PBE).

The structure belongs to space group R-3m (No. 166, hexagonal axes); the cell edges are 3.0643, 3.0643 and 7.5989 Å and the angles 90.00°, 90.00° and 120.00°. The inequivalent atoms are Ag at (0.0000, 0.0000, 0.0000) and H at (0.0000, 0.0000, 0.5000).

The value obtained for the calculated density is 8.78 g/cm³. The volume is 10.30 Å³ per atom. As for the crystal system: trigonal. The total energy is -2.74 eV/atom.

# 3
Entry from OQMD: an optimized crystal structure of Y3Si2Ge2Au4 (GGA-PBE).

The structure belongs to space group Immm (No. 71); the cell edges are 4.301, 7.003 and 14.498 Å and the angles 90.00°, 90.00° and 90.00°. The inequivalent atoms are Y at (0.000, 0.000, 0.000), Y at (0.000, 0.500, 0.126), Si at (0.000, 0.000, 0.217), Ge at (0.000, 0.186, 0.500) and Au at (0.000, 0.299, 0.328).

The value obtained for the calculated density is 9.55 g/cm³. The volume is 19.85 Å³ per atom. As for the crystal system: orthorhombic. The total energy is -5.47 eV/atom.

# 4
Entry from OQMD: an optimized crystal structure of LuZnFeIr (GGA-PBE).

The structure belongs to space group F-43m (No. 216); the cell edges are 6.420, 6.420 and 6.420 Å and the angles 90.00°, 90.00° and 90.00°. The inequivalent atoms are Lu at (0.000, 0.000, 0.000), Zn at (0.250, 0.250, 0.250), Fe at (0.000, 0.000, 0.500) and Ir at (0.250, 0.250, 0.750).

The value obtained for the calculated density is 12.26 g/cm³. The volume is 16.54 Å³ per atom. As for the crystal system: cubic. The formation energy comes out at -0.18 eV/atom.

# 5
Entry from OQMD: an optimized crystal structure of Nd4HoIn5 (GGA-PBE).

The structure belongs to space group P4/mmm (No. 123); the cell edges are 3.827, 3.827 and 19.366 Å and the angles 90.00°, 90.00° and 90.00°. The inequivalent atoms are Nd at (0.000, 0.000, 0.102), Nd at (0.000, 0.000, 0.306), Ho at (0.000, 0.000, 0.500), In at (0.500, 0.500, 0.000), In at (0.500, 0.500, 0.204) and In at (0.500, 0.500, 0.408).

The value obtained for the calculated density is 7.71 g/cm³. The volume is 28.36 Å³ per atom. As for the crystal system: tetragonal. The total energy is -4.22 eV/atom.

# 6
Entry from OQMD: an optimized crystal structure of BaHgIr (GGA-PBE).

The structure belongs to space group F-43m (No. 216); the cell edges are 7.080, 7.080 and 7.080 Å and the angles 90.00°, 90.00° and 90.00°. The inequivalent atoms are Ba at (0.000, 0.000, 0.000), Hg at (0.000, 0.000, 0.500) and Ir at (0.250, 0.250, 0.250).

The value obtained for the calculated density is 9.92 g/cm³. The volume is 29.57 Å³ per atom. As for the crystal system: cubic. The total energy is -3.53 eV/atom.

# 7
Entry from OQMD: an optimized crystal structure of PrGdCuTe3 (GGA-PBE).

The structure belongs to space group Cmcm (No. 63); the cell edges are 4.236, 14.378 and 11.299 Å and the angles 90.00°, 90.00° and 90.00°. The inequivalent atoms are Pr at (0.000, 0.232, 0.250), Gd at (0.000, 0.000, 0.000), Cu at (0.000, 0.470, 0.750), Te at (0.000, 0.089, 0.750) and Te at (0.000, 0.353, 0.568).

The value obtained for the calculated density is 7.19 g/cm³. The volume is 28.68 Å³ per atom. As for the crystal system: orthorhombic. The total energy is -4.84 eV/atom.

# 8
Entry from OQMD: an optimized crystal structure of LiTmCoTe3 (GGA-PBE).

The structure belongs to space group Pnma (No. 62); the cell edges are 11.780, 4.161 and 12.306 Å and the angles 90.00°, 90.00° and 90.00°. The inequivalent atoms are Li at (0.233, 0.250, 0.068), Tm at (0.038, 0.250, 0.294), Co at (0.247, 0.250, 0.728), Te at (0.070, 0.750, 0.117), Te at (0.096, 0.250, 0.576) and Te at (0.203, 0.750, 0.832).

The value obtained for the calculated density is 6.80 g/cm³. The volume is 25.13 Å³ per atom. As for the crystal system: orthorhombic. The total energy is -4.51 eV/atom.

- Among the records above, which one has the highest calculated density?
  LuZnFeIr

- calculated density of number 2 (AgH)?
  8.78 g/cm³

- Among the records above, which one has the lowest calculated density?
  LiTmCoTe3